# 1
DyFe2PH: optimized geometry, PBE.

abc: 5.350 5.350 6.884
angles: 90.00 90.00 141.07
Positions (direct):
1 Dy 0.047 0.953 0.750
2 Dy 0.953 0.047 0.250
3 Fe 0.330 0.670 0.558
4 Fe 0.330 0.670 0.942
5 Fe 0.670 0.330 0.058
6 Fe 0.670 0.330 0.442
7 P 0.234 0.766 0.250
8 P 0.766 0.234 0.750
9 H 0.500 0.500 0.000
10 H 0.500 0.500 0.500

# 2
DyZnFe2H8: optimized geometry, PBE.

abc: 4.447 4.447 6.349
angles: 90.00 90.00 120.00
Positions (direct):
1 Dy 0.000 0.000 0.000
2 Zn 0.000 0.000 0.500
3 Fe 0.333 0.667 0.337
4 Fe 0.667 0.333 0.663
5 H 0.146 0.291 0.280
6 H 0.146 0.854 0.280
7 H 0.291 0.146 0.720
8 H 0.333 0.667 0.090
9 H 0.667 0.333 0.910
10 H 0.709 0.854 0.280
11 H 0.854 0.146 0.720
12 H 0.854 0.709 0.720

Looking at size of the total moment for the records above, in order, we have 6.3, 0.0 μB/cell.
Looking at VASP energy for the records above, in order, we have -6.6850, -3.9701 eV/atom.
Looking at DOS at the Fermi energy for the records above, in order, we have 3.92, 4.55 states/eV/f.u..